Below is Rb2MgTaMo after structural relaxation, with properties calculated at the PBE level.

The structure in POSCAR format:
```
Rb2MgTaMo
1.0
-3.544 4.724 3.349
1.964 -1.374 4.015
5.040 4.449 -0.943
Mo Mg Rb Ta
1 1 2 1
direct
0.000 0.000 0.000
0.500 0.500 0.500
0.000 0.000 0.500
0.500 0.000 0.000
0.000 0.500 0.000
```

Computed properties:
DFT total energy: -3.7147 eV/atom
energy relative to the elements: 147 kJ/mol of atoms
space-group type: P4/mmm (123)
calculated volume: 215.53 Å³/cell
DOS at the Fermi energy: 4.380 states/eV per cell

Below is RbMgTc2Mo after structural relaxation, with properties calculated at the PBE level.

The structure in POSCAR format:
```
RbMgTc2Mo
1.0
4.917 0.000 0.000
0.000 5.019 0.000
0.000 0.000 4.917
Mg Mo Tc Rb
1 1 2 1
direct
0.000 0.000 0.000
0.000 0.500 0.000
0.000 0.000 0.500
0.500 0.000 0.000
0.500 0.500 0.500
```

Computed properties:
DFT total energy: -4.5009 eV/atom
energy relative to the elements: 224 kJ/mol of atoms
space-group type: P4/mmm (123)
calculated volume: 121.33 Å³/cell
DOS at the Fermi energy: 5.712 states/eV per cell